The following is a DFT calculation (GGA+U) of LiFeF4 after structural relaxation.

Values from the calculation:
Magnetic moment, μB per formula unit: 4.98
Relative energy among the computed polymorphs, meV/atom: 6
Uncorrected energy, eV per atom: -5.145
Mass density, g/cm3: 3.36

a = 5.682 Å, b = 4.753 Å, c = 10.221 Å
α = 90.00°, β = 95.78°, γ = 90.00°
Space group P2_1/c (No. 14)
Inequivalent atoms, fractional coordinates:
Li: 0.099 0.010 0.375 (multiplicity 4)
Fe: 0.360 0.014 0.125 (multiplicity 4)
F: 0.113 0.677 0.699 (multiplicity 4)
F: 0.159 0.198 0.549 (multiplicity 4)
F: 0.359 0.688 0.453 (multiplicity 4)
F: 0.411 0.223 0.295 (multiplicity 4)